First-principles (GGA-PBE) data for crystalline LaSm2ZrN4 at its relaxed geometry, as listed in Alexandria via LeMat-Bulk.

Results
- uncorrected formation energy (meV/atom) = -1463
- crystal system = monoclinic
- DOS at the Fermi energy (states/eV/f.u.) = 1.281

```
LaSm2ZrN4
1.0
6.093 0.000 0.000
0.000 3.521 0.000
-2.023 0.000 5.824
La Sm Zr N
1 2 1 4
direct
0.000 0.000 0.000
0.500 0.000 0.500
0.500 0.500 0.000
0.000 0.500 0.500
0.233 0.000 0.728
0.240 0.500 0.272
0.760 0.500 0.728
0.767 0.000 0.272
```